Computed, not measured: Be3Te after structural relaxation at the GGA-PBE level of DFT.

Cell lengths 6.9782, 3.6770, 4.6522 Å; angles 90.00, 90.06, 90.00 degrees
Sites, in units of the cell vectors:
Be 0.0000 0.0000 0.0000
Be 0.1705 0.5000 0.0018
Be 0.3295 0.0000 0.9982
Be 0.5000 0.5000 0.0000
Be 0.6705 0.0000 0.0018
Be 0.8295 0.5000 0.9982
Te 0.0000 0.5000 0.5000
Te 0.5000 0.0000 0.5000

Summary:
DFT total energy (eV per cell): -26.0
Density of states at the Fermi level (states/eV per atom): 0.39
Excess energy over the best structure of this formula in the dataset (meV per atom): 122.1
Formation energy from raw total energies (eV per atom): 0.33
Crystal system: monoclinic